This record from the Alexandria database describes a relaxed ZnFeBr2 crystal. The functional is GGA-PBE.

Calculated values
formation energy (no corrections) = -0.082 eV/atom
ΔE to the lowest computed polymorph = 0.0154 eV per atom
volume = 112 Å³/cell
final energy = -0.1232 Ha/atom

Structure (CIF):
```
data_ZnFeBr2
_cell_length_a 3.650
_cell_length_b 3.650
_cell_length_c 9.924
_cell_angle_alpha 100.12
_cell_angle_beta 100.12
_cell_angle_gamma 59.96
_space_group_name_H-M_alt 'P 1'
_space_group_IT_number 1
_space_group_name_Hall 'P 1'
loop_
_atom_site_label
_atom_site_type_symbol
_atom_site_fract_x
_atom_site_fract_y
_atom_site_fract_z
Zn1 Zn 0.000 0.000 0.000
Fe1 Fe 0.500 0.500 0.500
Br1 Br 0.217 0.217 0.658
Br2 Br 0.783 0.783 0.342
```


This record from the Alexandria database describes a relaxed Ce2Zn3Pd2 crystal. The functional is GGA-PBE.

Calculated values
volume = 139 Å³/cell
final energy = -0.1566 Ha/atom
energy of formation from the pure elements = -0.54 eV per atom

Structure (CIF):
```
data_Ce2Zn3Pd2
_cell_length_a 5.397
_cell_length_b 5.397
_cell_length_c 6.943
_cell_angle_alpha 109.87
_cell_angle_beta 109.87
_cell_angle_gamma 47.73
_space_group_name_H-M_alt 'P 1'
_space_group_IT_number 1
_space_group_name_Hall 'P 1'
loop_
_atom_site_label
_atom_site_type_symbol
_atom_site_fract_x
_atom_site_fract_y
_atom_site_fract_z
Ce1 Ce 0.144 0.144 0.266
Ce2 Ce 0.856 0.856 0.734
Zn1 Zn 0.381 0.381 0.069
Zn2 Zn 0.500 0.500 0.500
Zn3 Zn 0.619 0.619 0.931
Pd1 Pd 0.141 0.141 0.711
Pd2 Pd 0.859 0.859 0.289
```


This record from the Alexandria database describes a relaxed RbTaRePd2 crystal. The functional is GGA-PBE.

Calculated values
volume = 136 Å³/cell
final energy = -0.1805 Ha/atom
energy of formation from the pure elements = 2.22 eV per atom

Structure (CIF):
```
data_RbTaRePd2
_cell_length_a 4.905
_cell_length_b 4.905
_cell_length_c 5.636
_cell_angle_alpha 90.00
_cell_angle_beta 90.00
_cell_angle_gamma 90.00
_space_group_name_H-M_alt 'P 1'
_space_group_IT_number 1
_space_group_name_Hall 'P 1'
loop_
_atom_site_label
_atom_site_type_symbol
_atom_site_fract_x
_atom_site_fract_y
_atom_site_fract_z
Rb1 Rb 0.000 0.000 0.000
Ta1 Ta 0.000 0.000 0.500
Re1 Re 0.500 0.500 0.000
Pd1 Pd 0.000 0.500 0.500
Pd2 Pd 0.500 0.000 0.500
```


This record from the Alexandria database describes a relaxed Li4Mg3 crystal. The functional is GGA-PBE.

Calculated values
ΔE to the lowest computed polymorph = 0.0045 eV per atom
volume = 143 Å³/cell
final energy = -0.0669 Ha/atom
energy of formation from the pure elements = -0.04 eV per atom

Structure (CIF):
```
data_Li4Mg3
_cell_length_a 12.916
_cell_length_b 12.916
_cell_length_c 12.916
_cell_angle_alpha 165.10
_cell_angle_beta 165.10
_cell_angle_gamma 21.14
_space_group_name_H-M_alt 'P 1'
_space_group_IT_number 1
_space_group_name_Hall 'P 1'
loop_
_atom_site_label
_atom_site_type_symbol
_atom_site_fract_x
_atom_site_fract_y
_atom_site_fract_z
Li1 Li 0.073 0.073 0.000
Li2 Li 0.363 0.363 0.000
Li3 Li 0.637 0.637 0.000
Li4 Li 0.927 0.927 0.000
Mg1 Mg 0.209 0.209 0.000
Mg2 Mg 0.500 0.500 0.000
Mg3 Mg 0.791 0.791 0.000
```


This record from the Alexandria database describes a relaxed EuGd2Ho crystal. The functional is GGA-PBE.

Calculated values
ΔE to the lowest computed polymorph = 0.0966 eV per atom
volume = 135 Å³/cell
final energy = -0.3900 Ha/atom
energy of formation from the pure elements = 0.14 eV per atom

Structure (CIF):
```
data_EuGd2Ho
_cell_length_a 5.757
_cell_length_b 5.757
_cell_length_c 5.757
_cell_angle_alpha 60.00
_cell_angle_beta 60.00
_cell_angle_gamma 60.00
_space_group_name_H-M_alt 'P 1'
_space_group_IT_number 1
_space_group_name_Hall 'P 1'
loop_
_atom_site_label
_atom_site_type_symbol
_atom_site_fract_x
_atom_site_fract_y
_atom_site_fract_z
Eu1 Eu 0.000 0.000 0.000
Gd1 Gd 0.250 0.250 0.250
Gd2 Gd 0.750 0.750 0.750
Ho1 Ho 0.500 0.500 0.500
```


This record from the Alexandria database describes a relaxed CdP crystal. The functional is GGA-PBE.

Calculated values
ΔE to the lowest computed polymorph = 0.0894 eV per atom
volume = 92 Å³/cell
final energy = -0.1145 Ha/atom
energy of formation from the pure elements = 0.05 eV per atom

Structure (CIF):
```
data_CdP
_cell_length_a 3.233
_cell_length_b 4.364
_cell_length_c 7.218
_cell_angle_alpha 85.18
_cell_angle_beta 77.18
_cell_angle_gamma 68.63
_space_group_name_H-M_alt 'P 1'
_space_group_IT_number 1
_space_group_name_Hall 'P 1'
loop_
_atom_site_label
_atom_site_type_symbol
_atom_site_fract_x
_atom_site_fract_y
_atom_site_fract_z
Cd1 Cd 0.000 0.000 0.000
Cd2 Cd 0.322 0.006 0.347
P1 P 0.111 0.502 0.779
P2 P 0.715 0.505 0.567
```


This record from the Alexandria database describes a relaxed NdCu4Ni2 crystal. The functional is GGA-PBE.

Calculated values
ΔE to the lowest computed polymorph = 0.5109 eV per atom
volume = 128 Å³/cell
final energy = -0.1578 Ha/atom
energy of formation from the pure elements = 0.38 eV per atom

Structure (CIF):
```
data_NdCu4Ni2
_cell_length_a 5.607
_cell_length_b 5.607
_cell_length_c 5.607
_cell_angle_alpha 102.29
_cell_angle_beta 102.29
_cell_angle_gamma 125.04
_space_group_name_H-M_alt 'P 1'
_space_group_IT_number 1
_space_group_name_Hall 'P 1'
loop_
_atom_site_label
_atom_site_type_symbol
_atom_site_fract_x
_atom_site_fract_y
_atom_site_fract_z
Nd1 Nd 0.000 0.000 0.000
Cu1 Cu 0.269 0.500 0.769
Cu2 Cu 0.500 0.269 0.769
Cu3 Cu 0.500 0.731 0.231
Cu4 Cu 0.731 0.500 0.231
Ni1 Ni 0.250 0.750 0.500
Ni2 Ni 0.750 0.250 0.500
```


This record from the Alexandria database describes a relaxed TmAlCoSi2 crystal. The functional is GGA-PBE.

Calculated values
formation energy (no corrections) = -0.523 eV/atom
volume = 157 Å³/cell
final energy = -0.2115 Ha/atom

Structure (CIF):
```
data_TmAlCoSi2
_cell_length_a 5.373
_cell_length_b 5.375
_cell_length_c 5.451
_cell_angle_alpha 90.00
_cell_angle_beta 90.00
_cell_angle_gamma 90.00
_space_group_name_H-M_alt 'P 1'
_space_group_IT_number 1
_space_group_name_Hall 'P 1'
loop_
_atom_site_label
_atom_site_type_symbol
_atom_site_fract_x
_atom_site_fract_y
_atom_site_fract_z
Tm1 Tm 0.250 0.000 0.230
Tm2 Tm 0.750 0.000 0.770
Al1 Al 0.250 0.500 0.366
Al2 Al 0.750 0.500 0.634
Co1 Co 0.000 0.500 0.000
Co2 Co 0.500 0.500 0.000
Si1 Si 0.250 0.235 0.746
Si2 Si 0.250 0.765 0.746
Si3 Si 0.750 0.235 0.254
Si4 Si 0.750 0.765 0.254
```


This record from the Alexandria database describes a relaxed NaEuGdHg crystal. The functional is GGA-PBE.

Calculated values
volume = 120 Å³/cell
final energy = -0.2425 Ha/atom
energy of formation from the pure elements = -0.10 eV per atom

Structure (CIF):
```
data_NaEuGdHg
_cell_length_a 5.530
_cell_length_b 5.530
_cell_length_c 5.530
_cell_angle_alpha 60.00
_cell_angle_beta 60.00
_cell_angle_gamma 60.00
_space_group_name_H-M_alt 'P 1'
_space_group_IT_number 1
_space_group_name_Hall 'P 1'
loop_
_atom_site_label
_atom_site_type_symbol
_atom_site_fract_x
_atom_site_fract_y
_atom_site_fract_z
Na1 Na 0.000 0.000 0.000
Eu1 Eu 0.250 0.250 0.250
Gd1 Gd 0.750 0.750 0.750
Hg1 Hg 0.500 0.500 0.500
```


This record from the Alexandria database describes a relaxed AcPuPt crystal. The functional is GGA-PBE.

Calculated values
ΔE to the lowest computed polymorph = 0.0095 eV per atom
volume = 94 Å³/cell
final energy = -0.3178 Ha/atom
energy of formation from the pure elements = -0.49 eV per atom

Structure (CIF):
```
data_AcPuPt
_cell_length_a 5.101
_cell_length_b 5.101
_cell_length_c 5.101
_cell_angle_alpha 60.00
_cell_angle_beta 60.00
_cell_angle_gamma 60.00
_space_group_name_H-M_alt 'P 1'
_space_group_IT_number 1
_space_group_name_Hall 'P 1'
loop_
_atom_site_label
_atom_site_type_symbol
_atom_site_fract_x
_atom_site_fract_y
_atom_site_fract_z
Ac1 Ac 0.000 0.000 0.000
Pu1 Pu 0.500 0.500 0.500
Pt1 Pt 0.250 0.250 0.250
```


This record from the Alexandria database describes a relaxed CsHO2 crystal. The functional is GGA-PBE.

Calculated values
ΔE to the lowest computed polymorph = 1.8040 eV per atom
volume = 58 Å³/cell
final energy = -0.0951 Ha/atom

Structure (CIF):
```
data_CsHO2
_cell_length_a 6.150
_cell_length_b 6.150
_cell_length_c 6.150
_cell_angle_alpha 31.88
_cell_angle_beta 31.88
_cell_angle_gamma 31.88
_space_group_name_H-M_alt 'P 1'
_space_group_IT_number 1
_space_group_name_Hall 'P 1'
loop_
_atom_site_label
_atom_site_type_symbol
_atom_site_fract_x
_atom_site_fract_y
_atom_site_fract_z
Cs1 Cs 0.000 0.000 0.000
H1 H 0.500 0.500 0.500
O1 O 0.119 0.119 0.119
O2 O 0.881 0.881 0.881
```


This record from the Alexandria database describes a relaxed Ca2SiHg crystal. The functional is GGA-PBE.

Calculated values
formation energy (no corrections) = -0.303 eV/atom
volume = 101 Å³/cell
final energy = -0.1005 Ha/atom

Structure (CIF):
```
data_Ca2SiHg
_cell_length_a 6.023
_cell_length_b 6.023
_cell_length_c 5.366
_cell_angle_alpha 105.68
_cell_angle_beta 105.68
_cell_angle_gamma 32.90
_space_group_name_H-M_alt 'P 1'
_space_group_IT_number 1
_space_group_name_Hall 'P 1'
loop_
_atom_site_label
_atom_site_type_symbol
_atom_site_fract_x
_atom_site_fract_y
_atom_site_fract_z
Ca1 Ca 0.000 0.000 0.000
Ca2 Ca 0.201 0.201 0.631
Si1 Si 0.745 0.745 0.146
Hg1 Hg 0.442 0.442 0.465
```